The following is a PBE calculation of a geometry-optimized KZr2Ir structure, from the Alexandria database.

Summary:
- Total magnetic moment: 0.0 μB/f.u.
- Symmetry: P4/mmm, No. 123
- Final energy: -6.1577 eV/atom
- DFT formation energy: 606.0 meV/atom

Structure (extended XYZ):
```
4
Lattice="-2.703 -3.978 -0.298 2.739 -2.113 3.353 -2.198 1.297 2.613" Properties=species:S:1:pos:R:3 pbc="T T T"
Ir -2.450 -1.340 1.157
K 0.271 -0.408 2.983
Zr 0.000 0.000 0.000
Zr 0.018 -3.045 1.527
```


The following is a PBE calculation of a geometry-optimized Na3Hf2PdS6 structure, from the Alexandria database.

Summary:
- Total magnetic moment: 1.1 μB/f.u.
- Symmetry: C2/m, No. 12
- Final energy: -5.7293 eV/atom
- Energy relative to the elements, uncorrected: -1.244 eV/atom

Structure (extended XYZ):
```
12
Lattice="6.454 0.104 -0.060 -3.136 5.642 -0.060 -1.167 -2.021 6.705" Properties=species:S:1:pos:R:3 pbc="T T T"
Na -2.162 3.732 3.293
Na 4.313 -0.007 3.293
Na 1.076 1.862 3.293
Hf 0.072 3.790 -0.060
Hf 3.246 1.956 -0.060
Pd 0.000 0.000 0.000
S 3.218 1.795 5.210
S 2.080 3.602 1.483
S -1.067 1.930 1.375
S -0.053 3.684 5.210
S 0.071 0.123 5.103
S 2.205 0.041 1.375
```


The following is a PBE calculation of a geometry-optimized Pr2DyAl structure, from the Alexandria database.

Summary:
- Total magnetic moment: 0.0 μB/f.u.
- Symmetry: P4/mmm, No. 123
- Final energy: -4.6352 eV/atom
- DFT formation energy: -159.3 meV/atom

Structure (extended XYZ):
```
4
Lattice="-1.368 -4.192 -2.135 3.909 0.207 -2.912 2.582 -2.517 3.287" Properties=species:S:1:pos:R:3 pbc="T T T"
Pr 1.291 -1.258 1.644
Pr 1.955 0.104 -1.456
Al -0.684 -2.096 -1.068
Dy 2.561 -3.251 -0.880
```


The following is a PBE calculation of a geometry-optimized Er2TlCdO6 structure, from the Alexandria database.

Summary:
- Total magnetic moment: 1.1 μB/f.u.
- Symmetry: R3, No. 146
- Final energy: -6.2733 eV/atom
- Energy relative to the elements, uncorrected: -2.058 eV/atom

Structure (extended XYZ):
```
10
Lattice="-0.112 -5.651 -1.109 1.209 -1.921 -5.295 5.313 -2.869 -0.880" Properties=species:S:1:pos:R:3 pbc="T T T"
Er 2.913 -5.200 -3.716
Er 5.004 -2.847 -0.959
Tl 0.761 -2.552 -2.034
Cd 3.957 -7.772 -5.678
O 1.499 -4.662 -2.067
O 2.380 -3.687 -5.277
O 1.959 -7.050 -4.540
O 4.791 -5.818 -4.901
O 4.047 -6.441 -2.139
O 4.448 -3.658 -2.955
```


The following is a PBE calculation of a geometry-optimized GdErIn2 structure, from the Alexandria database.

Summary:
- Total magnetic moment: 7.1 μB/f.u.
- Symmetry: I4/mmm, No. 139
- Final energy: -6.4920 eV/atom
- DFT formation energy: -461.9 meV/atom

Structure (extended XYZ):
```
4
Lattice="-3.620 -1.191 3.723 0.829 -4.075 3.317 1.052 0.930 5.129" Properties=species:S:1:pos:R:3 pbc="T T T"
Gd -0.435 -1.084 3.042
In 0.829 -4.075 3.318
In -0.869 -2.168 6.084
Er -1.304 -3.252 9.127
```


The following is a PBE calculation of a geometry-optimized NaLi4Ag structure, from the Alexandria database.

Summary:
- Total magnetic moment: 0.0 μB/f.u.
- Symmetry: F-43m, No. 216
- Final energy: -1.9299 eV/atom
- DFT formation energy: 41.1 meV/atom

Structure (extended XYZ):
```
6
Lattice="-3.360 -2.586 -3.577 0.186 -5.524 -0.484 -4.204 -3.093 1.882" Properties=species:S:1:pos:R:3 pbc="T T T"
Na -1.844 -2.801 -0.545
Ag 0.000 0.000 0.000
Li -2.494 -5.453 -2.319
Li -4.718 -4.222 -1.120
Li -4.623 -7.020 -1.365
Li -2.921 -5.710 0.447
```